Below is a geometry-optimized BeZnIr2 structure, with properties calculated at the PBEsol level.

abc: 4.191 4.191 4.191
angles: 60.00 60.00 60.00
Sites, in units of the cell vectors:
Be 0.000 0.000 0.000
Zn 0.250 0.250 0.250
Ir 0.500 0.500 0.500
Ir 0.750 0.750 0.750

The value obtained for the formation energy is 0.12 eV per atom. The space-group type is F-43m, No. 216. As for the energy above the most stable polymorph in this dataset: 427 meV/atom.